(1)
This record from Alexandria via LeMat-Bulk describes a geometry-optimized Pm5TlPb8 structure. The functional is PBE.

Lattice parameters (Å, degrees): 9.7665 9.7665 9.2998 90.00 90.00 90.00
Space group I-4 (No. 82)
Asymmetric unit:
Pm1 0.0000 0.0000 0.0000
Pm2 0.1159 0.2864 0.3790
Tl1 0.0000 0.5000 0.7500
Pb1 0.0625 0.1595 0.6966
Pb2 0.1051 0.3110 0.0296

## Properties
Formation energy from the elements, eV per atom: -0.292
Calculated volume, Å³/f.u.: 443.5
VASP energy, eV/cell: -119.7
Total magnetization, μB per atom: 0.000

(2)
This record from Alexandria via LeMat-Bulk describes a geometry-optimized PmTmTlPb structure. The functional is PBE.

Lattice parameters (Å, degrees): 7.6938 7.6938 7.6938 90.00 90.00 90.00
Space group F-43m (No. 216)
Asymmetric unit:
Pm1 0.0000 0.0000 0.0000
Tm1 0.0000 0.0000 0.5000
Tl1 0.2500 0.2500 0.2500
Pb1 0.2500 0.2500 0.7500

## Properties
Formation energy from the elements, eV per atom: -0.355
Calculated volume, Å³/f.u.: 113.9
VASP energy, eV/cell: -66.9
Total magnetization, μB per atom: 0.000

(3)
This record from Alexandria via LeMat-Bulk describes a geometry-optimized PmYTlPb structure. The functional is PBE.

Lattice parameters (Å, degrees): 5.0715 5.0715 8.8955 90.00 90.00 90.00
Space group I-4m2 (No. 119)
Asymmetric unit:
Pm1 0.0000 0.0000 0.0000
Y1 0.0000 0.0000 0.5000
Tl1 0.0000 0.5000 0.7500
Pb1 0.0000 0.5000 0.2500

## Properties
Formation energy from the elements, eV per atom: -0.437
Calculated volume, Å³/f.u.: 114.4
VASP energy, eV/cell: -38.1
Total magnetization, μB per atom: 0.000
Relative energy among the computed polymorphs, meV/atom: 0.0

(4)
This record from Alexandria via LeMat-Bulk describes a geometry-optimized PmYTlPb structure. The functional is PBE.

Lattice parameters (Å, degrees): 7.7306 7.7306 7.7306 90.00 90.00 90.00
Space group F-43m (No. 216)
Asymmetric unit:
Pm1 0.0000 0.0000 0.0000
Y1 0.0000 0.0000 0.5000
Tl1 0.2500 0.2500 0.2500
Pb1 0.2500 0.2500 0.7500

## Properties
Formation energy from the elements, eV per atom: -0.404
Calculated volume, Å³/f.u.: 115.5
VASP energy, eV/cell: -75.6
Total magnetization, μB per atom: 0.000
Relative energy among the computed polymorphs, meV/atom: 33.5

(5)
This record from Alexandria via LeMat-Bulk describes a geometry-optimized PmTlZnPb structure. The functional is PBE.

Lattice parameters (Å, degrees): 7.5625 7.5625 7.5625 90.00 90.00 90.00
Space group F-43m (No. 216)
Asymmetric unit:
Pm1 0.0000 0.0000 0.0000
Tl1 0.2500 0.2500 0.2500
Zn1 0.2500 0.2500 0.7500
Pb1 0.0000 0.0000 0.5000

## Properties
Formation energy from the elements, eV per atom: -0.115
Calculated volume, Å³/f.u.: 108.1
VASP energy, eV/cell: -50.2
Total magnetization, μB per atom: 0.000

(6)
This record from Alexandria via LeMat-Bulk describes a geometry-optimized PmZrTlPb structure. The functional is PBE.

Lattice parameters (Å, degrees): 7.5260 7.5260 7.5260 90.00 90.00 90.00
Space group F-43m (No. 216)
Asymmetric unit:
Pm1 0.0000 0.0000 0.0000
Zr1 0.0000 0.0000 0.5000
Tl1 0.2500 0.2500 0.7500
Pb1 0.2500 0.2500 0.2500

## Properties
Formation energy from the elements, eV per atom: -0.134
Calculated volume, Å³/f.u.: 106.6
VASP energy, eV/cell: -79.6
Total magnetization, μB per atom: 0.297

(7)
This record from Alexandria via LeMat-Bulk describes a geometry-optimized Pm5TmPb6 structure. The functional is PBE.

Lattice parameters (Å, degrees): 5.9438 14.5789 8.7458 90.00 102.23 90.00
Space group C2/m (No. 12)
Asymmetric unit:
Pm1 0.0000 0.0000 0.0000
Pm2 0.0000 0.3290 0.0000
Pm3 0.0000 0.3382 0.5000
Tm1 0.0000 0.0000 0.5000
Pb1 0.0037 0.1644 0.7440
Pb2 0.0235 0.5000 0.2456

## Properties
Formation energy from the elements, eV per atom: -0.476
Calculated volume, Å³/f.u.: 370.3
VASP energy, eV/cell: -112.4
Total magnetization, μB per atom: 0.000
Relative energy among the computed polymorphs, meV/atom: 5.5

(8)
This record from Alexandria via LeMat-Bulk describes a geometry-optimized Pm2Tm4Pb structure. The functional is PBE.

Lattice parameters (Å, degrees): 5.8407 6.6538 11.4215 90.00 103.40 90.00
Space group P2_1/m (No. 11)
Asymmetric unit:
Pm1 0.0499 0.2500 0.4771
Pm2 0.3310 0.7500 0.0649
Tm1 0.1604 0.0103 0.7875
Tm2 0.2192 0.2500 0.0720
Tm3 0.3810 0.7500 0.3641
Pb1 0.4819 0.2500 0.3447

## Properties
Formation energy from the elements, eV per atom: -0.046
Calculated volume, Å³/f.u.: 215.9
VASP energy, eV/cell: -62.8
Total magnetization, μB per atom: 0.000

(9)
This record from Alexandria via LeMat-Bulk describes a geometry-optimized PmTm2Pb structure. The functional is PBE.

Lattice parameters (Å, degrees): 3.5272 3.5272 35.9140 90.00 90.00 120.00
Space group R-3m (No. 166, hexagonal axes)
Asymmetric unit:
Pm1 0.0000 0.0000 0.0000
Tm1 0.0000 0.0000 0.4125
Pb1 0.0000 0.0000 0.5000

## Properties
Formation energy from the elements, eV per atom: 0.059
Calculated volume, Å³/f.u.: 129.0
VASP energy, eV/cell: -51.5
Total magnetization, μB per atom: 0.000
Relative energy among the computed polymorphs, meV/atom: 367.6

(10)
This record from Alexandria via LeMat-Bulk describes a geometry-optimized PmTmPb structure. The functional is PBE.

Lattice parameters (Å, degrees): 5.2193 5.2193 3.9534 90.00 90.00 120.00
Space group P3m1 (No. 156)
Asymmetric unit:
Pm1 0.0000 0.0000 0.0000
Tm1 0.6667 0.3333 0.4767
Pb1 0.3333 0.6667 0.5756

## Properties
Formation energy from the elements, eV per atom: -0.223
Calculated volume, Å³/f.u.: 93.3
VASP energy, eV/cell: -13.6
Total magnetization, μB per atom: 0.000
Relative energy among the computed polymorphs, meV/atom: 227.4

(11)
This record from Alexandria via LeMat-Bulk describes a geometry-optimized PmTmPb structure. The functional is PBE.

Lattice parameters (Å, degrees): 4.1231 4.1231 10.3421 90.00 90.00 90.00
Space group I4mm (No. 107)
Asymmetric unit:
Pm1 0.0000 0.0000 0.0000
Tm1 0.0000 0.0000 0.3167
Pb1 0.0000 0.0000 0.6656

## Properties
Formation energy from the elements, eV per atom: -0.258
Calculated volume, Å³/f.u.: 87.9
VASP energy, eV/cell: -27.4
Total magnetization, μB per atom: 0.311
Relative energy among the computed polymorphs, meV/atom: 192.6

(12)
This record from Alexandria via LeMat-Bulk describes a geometry-optimized Pm4Tm5Pb2 structure. The functional is PBE.

Lattice parameters (Å, degrees): 5.2871 5.2871 46.6302 90.00 90.00 120.00
Space group R-3m (No. 166, hexagonal axes)
Asymmetric unit:
Pm1 0.0000 0.0000 0.0721
Pm2 0.0000 0.0000 0.2244
Tm1 0.0000 0.0000 0.0000
Tm2 0.0000 0.0000 0.1481
Tm3 0.0000 0.0000 0.3030
Pb1 0.0000 0.0000 0.3760

## Properties
Formation energy from the elements, eV per atom: 0.191
Calculated volume, Å³/f.u.: 376.3
VASP energy, eV/cell: -140.0
Total magnetization, μB per atom: 0.033

Q: formation energy from the elements of number 6 (PmZrTlPb)?
A: -0.134 eV per atom

Q: What is the formula in the eleventh record?
A: PmTmPb